DFT (PBE-GGA) results for crystalline Ho8Tm4Pu at its relaxed geometry.

It has space group R-3m (No. 166, hexagonal axes), with a = 10.8159 Å, b = 10.8159 Å, c = 13.2109 Å, α = 90.00°, β = 90.00° and γ = 120.00°. The asymmetric unit holds Ho at (0.0000, 0.0000, 0.2448), Ho at (0.0066, 0.5033, 0.7479), Tm at (0.0000, 0.0000, 0.0000), Tm at (0.0000, 0.5000, 0.0000) and Pu at (0.0000, 0.0000, 0.5000).

For the total moment, the calculation gives 0.488 μB per atom. The value obtained for the theoretical density is 8.33 Mg/m³. The value obtained for the density of states at the Fermi level is 53.14 states/eV/cell. The value obtained for the formation energy is 6.61 eV per formula unit. Its volume is 34.32 A^3/atom. For the energy, the calculation gives -186.7 eV/cell.